Record 1
First-principles (GGA-PBE) data for an optimized crystal structure of NaAcGe2Au5, as listed in Alexandria via LeMat-Bulk.

The space group is P4/mmm (No. 123) and the conventional cell measures 4.8713, 4.8713 and 8.7682 Å, with angles of 90.00, 90.00 and 90.00 degrees. The asymmetric unit holds Na at (0.0000, 0.0000, 0.0000), Ac at (0.0000, 0.0000, 0.5000), Ge at (0.5000, 0.5000, 0.1554), Au at (0.0000, 0.5000, 0.2564) and Au at (0.5000, 0.5000, 0.5000).

The calculated formation energy is -0.35 eV per atom. For the density of states at the Fermi level, the calculation gives 3.05 states/eV/f.u.

=====

Record 2
First-principles (GGA-PBE) data for an optimized crystal structure of NaAcGeAu, as listed in Alexandria via LeMat-Bulk.

The space group is F-43m (No. 216) and the conventional cell measures 7.4996, 7.4996 and 7.4996 Å, with angles of 90.00, 90.00 and 90.00 degrees. The asymmetric unit holds Na at (0.0000, 0.0000, 0.0000), Ac at (0.0000, 0.0000, 0.5000), Ge at (0.2500, 0.2500, 0.2500) and Au at (0.2500, 0.2500, 0.7500).

The calculated formation energy is -0.47 eV per atom. For the density of states at the Fermi level, the calculation gives 2.76 states/eV/f.u.

=====

Record 3
First-principles (GGA-PBE) data for an optimized crystal structure of NaAc2Ge4Au3, as listed in Alexandria via LeMat-Bulk.

The space group is P-4m2 (No. 115) and the conventional cell measures 4.5814, 4.5814 and 11.0308 Å, with angles of 90.00, 90.00 and 90.00 degrees. The asymmetric unit holds Na at (0.0000, 0.0000, 0.0000), Ac at (0.0000, 0.5000, 0.7425), Ge at (0.0000, 0.0000, 0.5000), Ge at (0.0000, 0.5000, 0.1435), Ge at (0.5000, 0.5000, 0.5000), Au at (0.0000, 0.5000, 0.3763) and Au at (0.5000, 0.5000, 0.0000).

The calculated formation energy is -0.53 eV per atom. For the density of states at the Fermi level, the calculation gives 3.83 states/eV/f.u.